# 1
Density functional theory data (PBE-GGA) for a geometry-optimized CaPr2Lu structure.

Computed properties:
**Size of the total moment**: 0.00 μB/f.u.
**Crystal system**: tetragonal
**Relative energy among the computed polymorphs**: 0.00 eV/f.u.
**Symmetry**: No. 123
**V**: 144 Å³/cell
**Formation energy**: 0.06 eV per atom
**Mass density**: 5.7 g cm⁻³

Cell lengths 4.057, 4.057, 8.778 Å; angles 90.00, 90.00, 90.00 degrees
Element x y z (fractional)
Ca: 0.000 0.000 0.000
Pr: 0.500 0.500 0.279
Pr: 0.500 0.500 0.721
Lu: 0.000 0.000 0.500

=====

# 2
Density functional theory data (PBE-GGA) for a geometry-optimized CaPrLu4 structure.

Computed properties:
**Size of the total moment**: 0.62 μB/f.u.
**Crystal system**: cubic
**Symmetry**: No. 216
**V**: 204 Å³/cell
**Formation energy**: 0.23 eV per atom
**Mass density**: 7.2 g cm⁻³

Cell lengths 6.604, 6.604, 6.604 Å; angles 60.00, 60.00, 60.00 degrees
Element x y z (fractional)
Ca: 0.000 0.000 0.000
Pr: 0.250 0.250 0.250
Lu: 0.127 0.624 0.624
Lu: 0.624 0.127 0.624
Lu: 0.624 0.624 0.127
Lu: 0.624 0.624 0.624

=====

# 3
Density functional theory data (PBE-GGA) for a geometry-optimized CaPr2Lu structure.

Computed properties:
**Size of the total moment**: 0.00 μB/f.u.
**Crystal system**: trigonal
**Relative energy among the computed polymorphs**: 0.28 eV/f.u.
**Symmetry**: No. 166
**V**: 144 Å³/cell
**Formation energy**: 0.13 eV per atom
**Mass density**: 5.7 g cm⁻³

Cell lengths 13.024, 13.024, 13.024 Å; angles 15.90, 15.90, 15.90 degrees
Element x y z (fractional)
Ca: 0.000 0.000 0.000
Pr: 0.092 0.092 0.092
Pr: 0.908 0.908 0.908
Lu: 0.500 0.500 0.500

=====

- Number 2 is which compound?
  CaPrLu4

=====

- Which value of size of the total moment does entry 2 give?
  0.62 μB/f.u.